Below is crystalline AcPmNi2 at its relaxed geometry, with properties calculated at the PBE-GGA level.

Summary:
For the formation energy, the calculation gives -0.68 eV per formula unit. The calculation puts the energy at -0.1939 hartree per atom. As for the space group: R-3m (166).

Cell lengths 4.149, 4.149, 7.111 Å; angles 73.04, 73.04, 60.00 degrees
Positions (direct):
Ni1 0.744 0.744 0.767
Ni2 0.256 0.256 0.233
Ac1 0.500 0.500 0.500
Pm1 0.000 0.000 0.000